# 1
MnNi2Mo | GGA-PBE | optimized geometry

Cell lengths 5.103, 7.489, 2.617 Å; angles 90.00, 90.00, 90.00 degrees
Fractional coordinates of all 8 atoms:
1 Mn 0.000 0.000 0.000
2 Mn 0.500 0.500 0.000
3 Ni 0.250 0.250 0.500
4 Ni 0.250 0.750 0.500
5 Ni 0.750 0.250 0.500
6 Ni 0.750 0.750 0.500
7 Mo 0.000 0.500 0.000
8 Mo 0.500 0.000 0.000

Fermi-level density of states = 0.975 states/eV per atom
total magnetic moment = 2.80 μB per formula unit
energy of formation from the pure elements = 0.2 eV/f.u.
calculated density = 8.9 g cm⁻³

# 2
RbGaSn2 | GGA-PBE | optimized geometry

Cell lengths 5.876, 5.876, 18.985 Å; angles 90.00, 90.00, 90.00 degrees
Fractional coordinates of all 16 atoms:
1 Rb 0.000 0.000 0.000
2 Rb 0.000 0.500 0.250
3 Rb 0.500 0.000 0.750
4 Rb 0.500 0.500 0.500
5 Ga 0.000 0.000 0.500
6 Ga 0.000 0.500 0.750
7 Ga 0.500 0.000 0.250
8 Ga 0.500 0.500 0.000
9 Sn 0.011 0.250 0.625
10 Sn 0.250 0.511 0.875
11 Sn 0.250 0.989 0.375
12 Sn 0.489 0.250 0.125
13 Sn 0.511 0.750 0.125
14 Sn 0.750 0.011 0.375
15 Sn 0.750 0.489 0.875
16 Sn 0.989 0.750 0.625

Fermi-level density of states = 0.422 states/eV per atom
total magnetic moment = 0.00 μB per formula unit
energy of formation from the pure elements = 0.1 eV/f.u.
calculated density = 4.0 g cm⁻³

# 3
HfSc2AuN | GGA-PBE | optimized geometry

Cell lengths 4.390, 4.390, 4.414 Å; angles 90.00, 90.00, 90.00 degrees
Fractional coordinates of all 5 atoms:
1 Hf 0.000 0.000 0.000
2 Sc 0.000 0.500 0.500
3 Sc 0.500 0.000 0.500
4 Au 0.500 0.500 0.000
5 N 0.000 0.000 0.500

Fermi-level density of states = 0.823 states/eV per atom
ΔE_f (raw) = -5.51 eV/f.u.
total magnetic moment = 0.00 μB per formula unit
calculated density = 9.4 g cm⁻³

# 4
Cs12K2Au7 | GGA-PBE | optimized geometry

Cell lengths 14.940, 14.940, 6.076 Å; angles 90.00, 90.00, 120.00 degrees
Fractional coordinates of all 21 atoms:
1 Cs 0.093 0.467 0.252
2 Cs 0.119 0.860 0.753
3 Cs 0.140 0.259 0.753
4 Cs 0.259 0.119 0.247
5 Cs 0.374 0.907 0.252
6 Cs 0.467 0.374 0.748
7 Cs 0.533 0.626 0.252
8 Cs 0.626 0.093 0.748
9 Cs 0.741 0.881 0.753
10 Cs 0.860 0.741 0.247
11 Cs 0.881 0.140 0.247
12 Cs 0.907 0.533 0.748
13 K 0.333 0.667 0.756
14 K 0.667 0.333 0.244
15 Au 0.000 0.000 0.000
16 Au 0.080 0.705 0.248
17 Au 0.295 0.375 0.248
18 Au 0.375 0.080 0.752
19 Au 0.625 0.920 0.248
20 Au 0.705 0.625 0.752
21 Au 0.920 0.295 0.752

Fermi-level density of states = 0.728 states/eV per atom
total magnetic moment = 0.00 μB per formula unit
energy of formation from the pure elements = -4.0 eV/f.u.
calculated density = 4.3 g cm⁻³

Please write out number 2 again, unchanged.
RbGaSn2 | GGA-PBE | optimized geometry

Cell lengths 5.876, 5.876, 18.985 Å; angles 90.00, 90.00, 90.00 degrees
Fractional coordinates of all 16 atoms:
1 Rb 0.000 0.000 0.000
2 Rb 0.000 0.500 0.250
3 Rb 0.500 0.000 0.750
4 Rb 0.500 0.500 0.500
5 Ga 0.000 0.000 0.500
6 Ga 0.000 0.500 0.750
7 Ga 0.500 0.000 0.250
8 Ga 0.500 0.500 0.000
9 Sn 0.011 0.250 0.625
10 Sn 0.250 0.511 0.875
11 Sn 0.250 0.989 0.375
12 Sn 0.489 0.250 0.125
13 Sn 0.511 0.750 0.125
14 Sn 0.750 0.011 0.375
15 Sn 0.750 0.489 0.875
16 Sn 0.989 0.750 0.625

Fermi-level density of states = 0.422 states/eV per atom
total magnetic moment = 0.00 μB per formula unit
energy of formation from the pure elements = 0.1 eV/f.u.
calculated density = 4.0 g cm⁻³

- Number 3 is which compound?
  HfSc2AuN